# 1
KInFeP2 PBE optimized geometry; magnetization = 3.511 μB/f.u.; calculated total energy = -2.678 eV per atom; DFT formation energy = 938.7 kJ/mol of formula units
1.0
5.336 0.000 0.000
0.000 5.336 0.000
0.000 0.000 5.573
K In Fe P
1 1 1 2
Cartesian
0.000 0.000 0.000 K
0.000 0.000 2.787 In
2.668 2.668 2.787 Fe
0.000 2.668 0.000 P
2.668 0.000 0.000 P

=====

# 2
Cd2Sb2Te PBE optimized geometry; magnetization = 0.000 μB/f.u.; calculated total energy = -2.551 eV per atom; E above lowest polymorph = 0.000 eV per atom; ΔE_f (raw) = 0.09 eV per atom
1.0
4.234 0.000 0.000
0.000 4.234 0.000
0.000 0.000 15.985
Cd Sb Te
4 4 2
Cartesian
0.000 0.000 1.453 Cd
0.000 0.000 14.532 Cd
2.117 2.117 6.539 Cd
2.117 2.117 9.446 Cd
0.000 2.117 3.996 Sb
0.000 2.117 11.989 Sb
2.117 0.000 3.996 Sb
2.117 0.000 11.989 Sb
0.000 0.000 7.993 Te
2.117 2.117 0.000 Te